Record 1
Below is a relaxed TbLuHgAu crystal, with properties calculated at the PBE level.

extended XYZ file:
```
4
Lattice="0.0000 3.6336 3.6336 3.6336 0.0000 3.6336 3.6336 3.6336 0.0000" Properties=species:S:1:pos:R:3 pbc="T T T"
Tb 0.0000 0.0000 0.0000
Lu 3.6336 3.6336 3.6336
Hg 5.4504 5.4504 5.4504
Au 1.8168 1.8168 1.8168
```

Results
Its density of states at the Fermi level is 0.84 states/eV per atom. The calculation puts the total magnetization at 0.031 μB per atom.

=====

Record 2
Below is a relaxed LuTlHgAu crystal, with properties calculated at the PBE level.

extended XYZ file:
```
4
Lattice="0.0000 3.5794 3.5794 3.5794 0.0000 3.5794 3.5794 3.5794 0.0000" Properties=species:S:1:pos:R:3 pbc="T T T"
Lu 0.0000 0.0000 0.0000
Tl 3.5794 3.5794 3.5794
Hg 1.7897 1.7897 1.7897
Au 5.3692 5.3692 5.3692
```

Results
Its density of states at the Fermi level is 0.47 states/eV per atom. The calculation puts the total magnetization at 0.000 μB per atom.

=====

Record 3
Below is a relaxed TmLuHgAu crystal, with properties calculated at the PBE level.

extended XYZ file:
```
4
Lattice="0.0000 3.6005 3.6005 3.6005 0.0000 3.6005 3.6005 3.6005 0.0000" Properties=species:S:1:pos:R:3 pbc="T T T"
Tm 0.0000 0.0000 0.0000
Lu 3.6005 3.6005 3.6005
Hg 1.8002 1.8002 1.8002
Au 5.4007 5.4007 5.4007
```

Results
Its density of states at the Fermi level is 0.54 states/eV per atom. The calculation puts the total magnetization at 0.000 μB per atom.

=====

Number 1: E_form -0.54 eV per atom. Number 2: E_form -0.35 eV per atom. Number 3: E_form -0.68 eV per atom.